Entry 1:
This record from the Alexandria database describes crystalline Tb2HgSb at its relaxed geometry. The functional is PBE.

Results
formation energy (no corrections) = -0.690 eV per atom
SG = R-3m, No. 166
total moment = 0.000 μB/atom
N(E_F) = 0.9230 states/eV per atom

```
Tb2HgSb
1.0
-1.077 -3.234 2.543
1.893 -3.782 -0.451
5.642 -0.240 5.641
Tb Hg Sb
2 1 1
Direct
0.254 0.254 0.239
0.746 0.746 0.761
0.500 0.500 0.500
0.000 0.000 0.000
```

=====

Entry 2:
This record from the Alexandria database describes crystalline Tb3HgSb at its relaxed geometry. The functional is PBE.

Results
formation energy (no corrections) = -0.194 eV per atom
SG = Cmmm, No. 65
total moment = 0.081 μB/atom
N(E_F) = 1.0305 states/eV per atom

```
Tb3HgSb
1.0
-1.941 -0.333 -4.769
7.194 -1.427 -2.828
-4.715 -6.872 2.398
Hg Tb Sb
2 6 2
Direct
0.500 0.092 0.184
0.500 0.908 0.816
0.000 0.163 0.326
0.000 0.837 0.674
0.500 0.318 0.000
0.500 0.000 0.500
0.500 0.500 0.500
0.500 0.682 0.000
0.000 0.366 0.732
0.000 0.634 0.268
```

=====

Entry 3:
This record from the Alexandria database describes crystalline Tb2HgSb at its relaxed geometry. The functional is PBE.

Results
formation energy (no corrections) = -0.761 eV per atom
SG = Cmcm, No. 63
total moment = 0.000 μB/atom
N(E_F) = 0.4768 states/eV per atom

```
Tb2HgSb
1.0
4.581 0.000 0.000
0.000 4.108 -0.730
0.000 0.056 12.243
Sb Hg Tb
2 2 4
Direct
0.250 0.190 0.379
0.750 0.810 0.621
0.250 0.456 0.913
0.750 0.544 0.087
0.250 0.318 0.636
0.750 0.935 0.871
0.250 0.065 0.129
0.750 0.682 0.364
```

=====

Entry 4:
This record from the Alexandria database describes crystalline Tb5Hg2Sb at its relaxed geometry. The functional is PBE.

Results
formation energy (no corrections) = -0.547 eV per atom
SG = I4/mcm, No. 140
total moment = 0.000 μB/atom
N(E_F) = 0.5969 states/eV per atom

```
Tb5Hg2Sb
1.0
-1.984 -3.541 7.264
-5.339 -5.041 -3.915
8.400 -0.079 -2.510
Tb Sb Hg
10 2 4
Direct
0.500 0.500 0.000
0.506 0.697 0.703
0.994 0.494 0.297
0.000 0.000 0.000
0.006 0.506 0.703
0.494 0.303 0.297
0.803 0.994 0.297
0.697 0.197 0.703
0.303 0.803 0.297
0.197 0.006 0.703
0.250 0.250 0.500
0.750 0.750 0.500
0.361 0.861 0.000
0.861 0.639 0.000
0.639 0.139 0.000
0.139 0.361 0.000
```

=====

Entry 5:
This record from the Alexandria database describes crystalline TbHg2Sb at its relaxed geometry. The functional is PBE.

Results
formation energy (no corrections) = -0.477 eV per atom
SG = P4/mmm, No. 123
total moment = 0.000 μB/atom
N(E_F) = 0.2718 states/eV per atom

```
TbHg2Sb
1.0
5.091 0.000 0.000
0.000 4.458 0.000
0.000 0.000 4.458
Tb Hg Sb
1 2 1
Direct
0.500 0.000 0.000
0.000 0.500 0.000
0.000 0.000 0.500
0.500 0.500 0.500
```

=====

Entry 6:
This record from the Alexandria database describes crystalline Tb4HgSb3 at its relaxed geometry. The functional is PBE.

Results
formation energy (no corrections) = -0.871 eV per atom
SG = Pm-3m, No. 221
total moment = 0.095 μB/atom
N(E_F) = 0.8409 states/eV per atom

```
Tb4HgSb3
1.0
-0.096 2.792 -5.550
5.541 -2.472 -1.339
-2.809 -4.970 -2.451
Sb Tb Hg
3 4 1
Direct
0.500 0.500 0.000
0.000 0.500 0.500
0.500 0.000 0.500
0.500 0.000 0.000
0.500 0.500 0.500
0.000 0.000 0.500
0.000 0.500 0.000
0.000 0.000 0.000
```

=====

Entry 7:
This record from the Alexandria database describes crystalline Tb6Hg2SbTe3 at its relaxed geometry. The functional is PBE.

Results
formation energy (no corrections) = -1.012 eV per atom
SG = C2/m, No. 12
total moment = 0.000 μB/atom
N(E_F) = 0.5050 states/eV per atom

```
Tb6Hg2SbTe3
1.0
4.299 0.000 0.000
0.000 8.869 -0.254
-2.149 -3.142 9.311
Tb Te Sb Hg
6 3 1 2
Direct
0.010 0.252 0.020
0.338 0.384 0.676
0.990 0.748 0.980
0.669 0.126 0.338
0.331 0.874 0.662
0.662 0.616 0.324
0.161 0.866 0.323
0.839 0.134 0.677
0.500 0.500 0.000
0.500 0.000 0.000
0.816 0.612 0.632
0.184 0.388 0.368
```

=====

Entry 8:
This record from the Alexandria database describes crystalline Tb4HgSbTe2 at its relaxed geometry. The functional is PBE.

Results
formation energy (no corrections) = -1.061 eV per atom
SG = P2/m, No. 10
total moment = 0.000 μB/atom
N(E_F) = 0.6339 states/eV per atom

```
Tb4HgSbTe2
1.0
4.280 0.000 0.000
0.000 7.696 -0.244
0.000 2.619 7.115
Tb Te Sb Hg
4 2 1 1
Direct
0.000 0.259 0.245
0.500 0.741 0.251
0.000 0.741 0.755
0.500 0.259 0.749
0.000 0.000 0.000
0.500 0.000 0.500
0.000 0.500 0.500
0.500 0.500 0.000
```

=====

Entry 9:
This record from the Alexandria database describes crystalline TcHgSb2 at its relaxed geometry. The functional is PBE.

Results
formation energy (no corrections) = 0.464 eV per atom
SG = I-42d, No. 122
total moment = 0.000 μB/atom
N(E_F) = 1.0742 states/eV per atom

```
TcHgSb2
1.0
6.458 0.000 0.000
0.000 6.458 0.000
3.229 3.229 6.026
Sb Tc Hg
4 2 2
Direct
0.176 0.625 0.250
0.375 0.426 0.750
0.574 0.125 0.250
0.875 0.824 0.750
0.500 0.500 0.000
0.250 0.750 0.500
0.750 0.250 0.500
0.000 0.000 0.000
```

=====

Entry 10:
This record from the Alexandria database describes crystalline TcHgSb2 at its relaxed geometry. The functional is PBE.

Results
formation energy (no corrections) = 0.646 eV per atom
SG = I-4m2, No. 119
total moment = 0.227 μB/atom
N(E_F) = 1.1771 states/eV per atom

```
TcHgSb2
1.0
5.651 0.025 0.000
2.421 5.106 0.000
-4.036 -2.566 3.010
Sb Hg Tc
2 1 1
Direct
0.000 0.000 0.000
0.250 0.750 0.500
0.750 0.250 0.500
0.500 0.500 0.000
```

=====

Entry 11:
This record from the Alexandria database describes crystalline TcHgSb2 at its relaxed geometry. The functional is PBE.

Results
formation energy (no corrections) = 0.239 eV per atom
SG = Immm, No. 71
total moment = 0.000 μB/atom
N(E_F) = 0.8688 states/eV per atom

```
TcHgSb2
1.0
6.811 1.362 0.123
3.451 6.028 -0.123
-4.527 -4.534 2.686
Sb Tc Hg
2 1 1
Direct
0.575 0.575 0.000
0.925 0.925 0.000
0.750 0.250 0.500
0.250 0.750 0.500
```

=====

Entry 12:
This record from the Alexandria database describes crystalline TcHgSb2 at its relaxed geometry. The functional is PBE.

Results
formation energy (no corrections) = 0.084 eV per atom
SG = R-3m, No. 166
total moment = 0.000 μB/atom
N(E_F) = 0.4986 states/eV per atom

```
TcHgSb2
1.0
10.840 -0.011 -0.007
10.328 3.293 -0.007
10.328 1.601 2.877
Sb Hg Tc
2 1 1
Direct
0.977 0.977 0.977
0.523 0.523 0.523
0.750 0.750 0.750
0.250 0.250 0.250
```

=====

Raw total energy? In order: -16.444 -38.570 -33.456 -64.508 -11.265 -38.154 -54.073 -37.717 -34.110 -16.327 -17.958 -18.575 eV for the cell shown.